Material: SmErAlAg
Method: DFT, GGA-PBE
State: optimized geometry

```
SmErAlAg
1.0
3.570 0.000 0.000
0.000 3.570 0.000
0.000 0.000 7.607
Sm Er Al Ag
1 1 1 1
Direct
0.000 0.000 0.000
0.000 0.000 0.502
0.500 0.500 0.743
0.500 0.500 0.276
```

Distance to the lowest polymorph of the same formula, meV/atom: 0
ΔH_f (0 K), eV/f.u.: -1.41
Uncorrected energy, eV per atom: -4.3216
Total magnetic moment, μB/atom: 0.0000